Computed, not measured: a geometry-optimized SrAg6Hg6 structure at the PBE level of DFT.

abc: 7.6655 7.6655 7.6655
angles: 136.41 99.08 96.77
Element x y z (fractional)
1 Sr 0.0000 0.0000 0.0000
2 Ag 0.0000 0.0000 0.5000
3 Ag 0.0000 0.5000 0.0000
4 Ag 0.2336 0.5000 0.7336
5 Ag 0.5000 0.0000 0.0000
6 Ag 0.5000 0.5000 0.5000
7 Ag 0.7664 0.5000 0.2664
8 Hg 0.1843 0.6843 0.5000
9 Hg 0.3447 0.0000 0.3447
10 Hg 0.3458 0.3458 0.0000
11 Hg 0.6542 0.6542 0.0000
12 Hg 0.6553 0.0000 0.6553
13 Hg 0.8157 0.3157 0.5000

Results
DFT formation energy (eV per atom): -0.096
Magnetization (μB/f.u.): 0.00
Symmetry: No. 71

***

Computed, not measured: a geometry-optimized SrAgHg6 structure at the PBE level of DFT.

abc: 9.3522 9.3522 9.3522
angles: 37.68 37.68 37.68
Element x y z (fractional)
1 Sr 0.0000 0.0000 0.0000
2 Ag 0.5000 0.5000 0.5000
3 Hg 0.0620 0.0620 0.5559
4 Hg 0.0620 0.5559 0.0620
5 Hg 0.4441 0.9380 0.9380
6 Hg 0.5559 0.0620 0.0620
7 Hg 0.9380 0.4441 0.9380
8 Hg 0.9380 0.9380 0.4441

Results
DFT formation energy (eV per atom): 0.018
Magnetization (μB/f.u.): 0.00
Symmetry: No. 166

***

Computed, not measured: a geometry-optimized SrAg10Hg2 structure at the PBE level of DFT.

abc: 9.7630 7.5203 7.4119
angles: 81.66 49.65 48.69
Element x y z (fractional)
1 Sr 0.0000 0.0000 0.0000
2 Ag 0.0000 0.0000 0.5000
3 Ag 0.0083 0.6451 0.3549
4 Ag 0.2822 0.5036 0.4964
5 Ag 0.3549 0.9917 0.0083
6 Ag 0.4964 0.7178 0.2822
7 Ag 0.5000 0.5000 0.0000
8 Ag 0.5036 0.2822 0.7178
9 Ag 0.6451 0.0083 0.9917
10 Ag 0.7178 0.4964 0.5036
11 Ag 0.9917 0.3549 0.6451
12 Hg 0.0000 0.5000 0.0000
13 Hg 0.5000 0.0000 0.5000

Results
DFT formation energy (eV per atom): -0.037
Magnetization (μB/f.u.): 0.00
Symmetry: No. 69

***

Computed, not measured: a geometry-optimized SrAg3Hg2 structure at the PBE level of DFT.

abc: 5.8939 5.8939 4.7638
angles: 90.00 90.00 120.00
Element x y z (fractional)
1 Sr 0.0000 0.0000 0.0000
2 Ag 0.0000 0.5000 0.5000
3 Ag 0.5000 0.0000 0.5000
4 Ag 0.5000 0.5000 0.5000
5 Hg 0.3333 0.6667 0.0000
6 Hg 0.6667 0.3333 0.0000

Results
DFT formation energy (eV per atom): -0.218
Magnetization (μB/f.u.): 0.00
Symmetry: No. 191

***

Computed, not measured: a geometry-optimized Sr5Ag4Hg structure at the PBE level of DFT.

abc: 3.9634 3.9634 19.5751
angles: 90.00 90.00 90.00
Element x y z (fractional)
1 Sr 0.0000 0.0000 0.0000
2 Sr 0.0000 0.0000 0.1975
3 Sr 0.0000 0.0000 0.3972
4 Sr 0.0000 0.0000 0.6028
5 Sr 0.0000 0.0000 0.8025
6 Ag 0.5000 0.5000 0.0992
7 Ag 0.5000 0.5000 0.2967
8 Ag 0.5000 0.5000 0.7033
9 Ag 0.5000 0.5000 0.9008
10 Hg 0.5000 0.5000 0.5000

Results
DFT formation energy (eV per atom): -0.317
Magnetization (μB/f.u.): 0.00
Symmetry: No. 123

***

Computed, not measured: a geometry-optimized Sr3Ag2Hg2 structure at the PBE level of DFT.

abc: 6.4976 6.4976 8.7868
angles: 110.38 110.38 40.35
Element x y z (fractional)
1 Sr 0.0000 0.0000 0.0000
2 Sr 0.1774 0.1774 0.6505
3 Sr 0.8226 0.8226 0.3495
4 Ag 0.3175 0.3175 0.0679
5 Ag 0.6825 0.6825 0.9321
6 Hg 0.4567 0.4567 0.6635
7 Hg 0.5433 0.5433 0.3365

Results
DFT formation energy (eV per atom): -0.408
Magnetization (μB/f.u.): 0.00
Symmetry: No. 12

***

Computed, not measured: a geometry-optimized SrAg2Hg2 structure at the PBE level of DFT.

abc: 6.1602 6.4979 7.9843
angles: 81.98 67.81 63.03
Element x y z (fractional)
1 Sr 0.1196 0.2531 0.2495
2 Sr 0.8804 0.7469 0.7505
3 Ag 0.2582 0.8103 0.9424
4 Ag 0.4942 0.3027 0.4415
5 Ag 0.5058 0.6973 0.5585
6 Ag 0.7418 0.1897 0.0576
7 Hg 0.1037 0.1699 0.6880
8 Hg 0.4658 0.3298 0.8113
9 Hg 0.5342 0.6702 0.1887
10 Hg 0.8963 0.8301 0.3120

Results
Energy above the lowest structure with this stoichiometry (eV per atom): 0.012
DFT formation energy (eV per atom): -0.220
Magnetization (μB/f.u.): 0.00
Symmetry: No. 2

***

Computed, not measured: a geometry-optimized Sr4AgHg3 structure at the PBE level of DFT.

abc: 4.4081 4.9892 12.2842
angles: 90.00 90.00 90.00
Element x y z (fractional)
1 Sr 0.0000 0.0000 0.0000
2 Sr 0.0000 0.5000 0.2784
3 Sr 0.5000 0.0000 0.4963
4 Sr 0.5000 0.5000 0.7797
5 Ag 0.5000 0.0000 0.2118
6 Hg 0.0000 0.0000 0.7207
7 Hg 0.0000 0.5000 0.5560
8 Hg 0.5000 0.5000 0.0654

Results
DFT formation energy (eV per atom): -0.461
Magnetization (μB/f.u.): 0.00
Symmetry: No. 25

***

Which value of magnetization does entry 4 give?
0.00 μB/f.u.